Computed, not measured: Fe3Cl after structural relaxation at the PBE level of DFT.

Its crystal system is cubic. For the total moment, the calculation gives 8.2 μB/f.u. The calculation puts the energy above the most stable polymorph in this dataset at 185 meV/atom.

```
data_Fe3Cl
_symmetry_space_group_name_H-M 'P 1'
_symmetry_Int_Tables_number 1
_symmetry_space_group_name_Hall 'P 1'
_cell_length_a 4.217
_cell_length_b 4.217
_cell_length_c 4.217
_cell_angle_alpha 60.00
_cell_angle_beta 60.00
_cell_angle_gamma 60.00
loop_
_atom_site_label
_atom_site_fract_x
_atom_site_fract_y
_atom_site_fract_z
Cl1 0.750 0.750 0.750
Fe1 0.000 0.000 0.000
Fe2 0.250 0.250 0.250
Fe3 0.500 0.500 0.500
```